1.
# Cu17Au2

Cu17Au2 after structural relaxation (PBE-GGA, Alexandria via LeMat-Bulk).

Summary:
energy relative to the elements	0.100	eV/atom

Unit cell a=6.354 b=6.354 c=6.354 alpha=81.79 beta=81.79 gamma=81.79
Fractional coordinates of all 19 atoms:
Cu  0.000  0.000  0.500
Cu  0.000  0.305  0.695
Cu  0.000  0.500  0.000
Cu  0.000  0.695  0.305
Cu  0.099  0.099  0.099
Cu  0.157  0.651  0.651
Cu  0.305  0.000  0.695
Cu  0.305  0.695  0.000
Cu  0.349  0.349  0.843
Cu  0.349  0.843  0.349
Cu  0.500  0.000  0.000
Cu  0.651  0.157  0.651
Cu  0.651  0.651  0.157
Cu  0.695  0.000  0.305
Cu  0.695  0.305  0.000
Cu  0.843  0.349  0.349
Cu  0.901  0.901  0.901
Au  0.341  0.341  0.341
Au  0.659  0.659  0.659

---

2.
# Ti5CoRh

Ti5CoRh after structural relaxation (PBE-GGA, Alexandria via LeMat-Bulk).

Summary:
energy relative to the elements	-0.075	eV/atom

Unit cell a=5.342 b=5.342 c=9.158 alpha=107.68 beta=107.68 gamma=69.80
Fractional coordinates of all 14 atoms:
Ti  0.015  0.526  0.838
Ti  0.033  0.967  0.750
Ti  0.229  0.521  0.491
Ti  0.474  0.985  0.662
Ti  0.479  0.771  0.009
Ti  0.521  0.229  0.991
Ti  0.526  0.015  0.338
Ti  0.771  0.479  0.509
Ti  0.967  0.033  0.250
Ti  0.985  0.474  0.162
Co  0.000  0.000  0.000
Co  0.000  0.000  0.500
Rh  0.449  0.551  0.250
Rh  0.551  0.449  0.750

---

3.
# HoPa2WC4

HoPa2WC4 after structural relaxation (PBE-GGA, Alexandria via LeMat-Bulk).

Summary:
energy relative to the elements	-0.102	eV/atom

Unit cell a=6.177 b=6.177 c=12.583 alpha=90.00 beta=90.00 gamma=147.50
Fractional coordinates of all 16 atoms:
Ho  0.113  0.887  0.750
Ho  0.887  0.113  0.250
Pa  0.367  0.633  0.538
Pa  0.367  0.633  0.962
Pa  0.633  0.367  0.038
Pa  0.633  0.367  0.462
W  0.156  0.844  0.250
W  0.844  0.156  0.750
C  0.000  0.000  0.000
C  0.000  0.000  0.500
C  0.264  0.736  0.130
C  0.264  0.736  0.370
C  0.440  0.560  0.750
C  0.560  0.440  0.250
C  0.736  0.264  0.630
C  0.736  0.264  0.870

---

4.
# HoAlPd3

HoAlPd3 after structural relaxation (PBE-GGA, Alexandria via LeMat-Bulk).

Summary:
energy relative to the elements	-0.769	eV/atom

Unit cell a=6.407 b=6.407 c=6.407 alpha=128.93 beta=105.30 gamma=96.19
Fractional coordinates of all 10 atoms:
Ho  0.251  0.001  0.250
Ho  0.749  0.999  0.750
Al  0.000  0.500  0.500
Al  0.500  0.500  0.000
Pd  0.192  0.000  0.692
Pd  0.192  0.500  0.192
Pd  0.422  0.672  0.750
Pd  0.578  0.328  0.250
Pd  0.808  0.000  0.308
Pd  0.808  0.500  0.808

---

5.
# SrLi2Tl2In2

SrLi2Tl2In2 after structural relaxation (PBE-GGA, Alexandria via LeMat-Bulk).

Summary:
energy relative to the elements	-0.261	eV/atom

Unit cell a=8.824 b=4.796 c=8.974 alpha=90.00 beta=103.18 gamma=90.00
Fractional coordinates of all 14 atoms:
Sr  0.000  0.000  0.000
Sr  0.500  0.500  0.000
Li  0.082  0.500  0.675
Li  0.418  0.000  0.325
Li  0.582  0.000  0.675
Li  0.918  0.500  0.325
Tl  0.225  0.500  0.222
Tl  0.275  0.000  0.778
Tl  0.725  0.000  0.222
Tl  0.775  0.500  0.778
In  0.119  0.000  0.406
In  0.381  0.500  0.594
In  0.619  0.500  0.406
In  0.881  0.000  0.594

---

6.
# Ac2Nd3Pb2

Ac2Nd3Pb2 after structural relaxation (PBE-GGA, Alexandria via LeMat-Bulk).

Summary:
energy relative to the elements	-0.329	eV/atom

Unit cell a=12.833 b=4.714 c=9.166 alpha=90.00 beta=110.74 gamma=90.00
Fractional coordinates of all 14 atoms:
Ac  0.138  0.000  0.291
Ac  0.362  0.500  0.709
Ac  0.638  0.500  0.291
Ac  0.862  0.000  0.709
Nd  0.000  0.500  0.500
Nd  0.130  0.500  0.944
Nd  0.370  0.000  0.056
Nd  0.500  0.000  0.500
Nd  0.630  0.000  0.944
Nd  0.870  0.500  0.056
Pb  0.161  0.000  0.706
Pb  0.339  0.500  0.294
Pb  0.661  0.500  0.706
Pb  0.839  0.000  0.294

---

7.
# SrAcCdAu

SrAcCdAu after structural relaxation (PBE-GGA, Alexandria via LeMat-Bulk).

Summary:
energy relative to the elements	-0.539	eV/atom

Unit cell a=3.963 b=3.963 c=8.022 alpha=90.00 beta=90.00 gamma=90.00
Fractional coordinates of all 4 atoms:
Sr  0.000  0.000  0.000
Ac  0.000  0.000  0.468
Cd  0.500  0.500  0.737
Au  0.500  0.500  0.250

---

8.
# Ti2VSe

Ti2VSe after structural relaxation (PBE-GGA, Alexandria via LeMat-Bulk).

Summary:
formation energy without anion corrections	0.11	eV per atom

Unit cell a=3.270 b=3.270 c=23.272 alpha=90.00 beta=90.00 gamma=120.00
Fractional coordinates of all 12 atoms:
Ti  0.000  0.000  0.092
Ti  0.000  0.000  0.908
Ti  0.333  0.667  0.575
Ti  0.333  0.667  0.758
Ti  0.667  0.333  0.242
Ti  0.667  0.333  0.425
V  0.000  0.000  0.000
V  0.333  0.667  0.667
V  0.667  0.333  0.333
Se  0.000  0.000  0.500
Se  0.333  0.667  0.167
Se  0.667  0.333  0.833

---

9.
# CaHg3Au2

CaHg3Au2 after structural relaxation (PBE-GGA, Alexandria via LeMat-Bulk).

Summary:
energy relative to the elements	-0.320	eV/atom

Unit cell a=9.244 b=9.244 c=8.248 alpha=112.45 beta=112.45 gamma=26.62
Fractional coordinates of all 12 atoms:
Ca  0.115  0.115  0.045
Ca  0.885  0.885  0.955
Hg  0.068  0.068  0.437
Hg  0.307  0.307  0.606
Hg  0.376  0.376  0.273
Hg  0.624  0.624  0.727
Hg  0.693  0.693  0.394
Hg  0.932  0.932  0.563
Au  0.248  0.248  0.880
Au  0.485  0.485  0.823
Au  0.515  0.515  0.177
Au  0.752  0.752  0.120

---

10.
# CrSb3

CrSb3 after structural relaxation (PBE-GGA, Alexandria via LeMat-Bulk).

Summary:
formation energy without anion corrections	0.17	eV per atom

Unit cell a=6.734 b=8.487 c=6.608 alpha=90.00 beta=90.00 gamma=90.00
Fractional coordinates of all 16 atoms:
Cr  0.145  0.250  0.026
Cr  0.355  0.750  0.526
Cr  0.645  0.250  0.474
Cr  0.855  0.750  0.974
Sb  0.019  0.250  0.634
Sb  0.196  0.568  0.854
Sb  0.196  0.932  0.854
Sb  0.304  0.068  0.354
Sb  0.304  0.432  0.354
Sb  0.481  0.750  0.134
Sb  0.519  0.250  0.866
Sb  0.696  0.568  0.646
Sb  0.696  0.932  0.646
Sb  0.804  0.068  0.146
Sb  0.804  0.432  0.146
Sb  0.981  0.750  0.366

---

11.
# Cs2TeAuS4

Cs2TeAuS4 after structural relaxation (PBE-GGA, Alexandria via LeMat-Bulk).

Summary:
formation energy without anion corrections	-0.34	eV per atom

Unit cell a=14.533 b=12.876 c=7.989 alpha=84.86 beta=61.94 gamma=33.20
Fractional coordinates of all 16 atoms:
Cs  0.053  0.053  0.697
Cs  0.303  0.303  0.947
Cs  0.697  0.697  0.053
Cs  0.947  0.947  0.303
Te  0.375  0.375  0.375
Te  0.625  0.625  0.625
Au  0.125  0.125  0.125
Au  0.875  0.875  0.875
S  0.010  0.352  0.442
S  0.304  0.558  0.648
S  0.352  0.010  0.696
S  0.442  0.696  0.010
S  0.558  0.304  0.990
S  0.648  0.990  0.304
S  0.696  0.442  0.352
S  0.990  0.648  0.558

---

12.
# RbGaAg2Au

RbGaAg2Au after structural relaxation (PBE-GGA, Alexandria via LeMat-Bulk).

Summary:
energy relative to the elements	0.007	eV/atom

Unit cell a=5.171 b=5.171 c=5.062 alpha=90.00 beta=90.00 gamma=90.00
Fractional coordinates of all 5 atoms:
Rb  0.000  0.000  0.000
Ga  0.500  0.500  0.500
Ag  0.000  0.500  0.500
Ag  0.500  0.000  0.500
Au  0.500  0.500  0.000

---

13.
# Y4In2Au

Y4In2Au after structural relaxation (PBE-GGA, Alexandria via LeMat-Bulk).

Summary:
energy relative to the elements	-0.437	eV/atom

Unit cell a=9.037 b=9.037 c=9.037 alpha=33.57 beta=33.57 gamma=33.57
Fractional coordinates of all 7 atoms:
Y  0.124  0.124  0.124
Y  0.375  0.375  0.375
Y  0.625  0.625  0.625
Y  0.876  0.876  0.876
In  0.247  0.247  0.247
In  0.753  0.753  0.753
Au  0.000  0.000  0.000

---

14.
# KCaCeSbO6

KCaCeSbO6 after structural relaxation (PBE-GGA, Alexandria via LeMat-Bulk).

Summary:
formation energy without anion corrections	-2.35	eV per atom

Unit cell a=5.959 b=5.959 c=5.959 alpha=60.00 beta=60.00 gamma=60.00
Fractional coordinates of all 10 atoms:
K  0.000  0.000  0.000
Ca  0.500  0.500  0.500
Ce  0.750  0.750  0.750
Sb  0.250  0.250  0.250
O  0.013  0.013  0.487
O  0.013  0.487  0.013
O  0.013  0.487  0.487
O  0.487  0.013  0.013
O  0.487  0.013  0.487
O  0.487  0.487  0.013

---

15.
# ScAl2Si

ScAl2Si after structural relaxation (PBE-GGA, Alexandria via LeMat-Bulk).

Summary:
formation energy without anion corrections	-0.15	eV per atom

Unit cell a=7.570 b=7.570 c=5.360 alpha=90.00 beta=90.00 gamma=90.00
Fractional coordinates of all 16 atoms:
Sc  0.000  0.000  0.000
Sc  0.000  0.500  0.250
Sc  0.500  0.000  0.750
Sc  0.500  0.500  0.500
Al  0.197  0.750  0.625
Al  0.250  0.197  0.375
Al  0.250  0.303  0.875
Al  0.303  0.750  0.125
Al  0.697  0.250  0.125
Al  0.750  0.697  0.875
Al  0.750  0.803  0.375
Al  0.803  0.250  0.625
Si  0.000  0.000  0.500
Si  0.000  0.500  0.750
Si  0.500  0.000  0.250
Si  0.500  0.500  0.000

---

no.,calculated total energy (eV/cell)
1,-74.30
2,-108.91
3,-148.47
4,-55.48
5,-35.09
6,-64.48
7,-12.14
8,-83.85
9,-22.77
10,-85.27
11,-54.70
12,-12.94
13,-37.67
14,-66.43
15,-79.40